Record 1
Entry from Alexandria via LeMat-Bulk: an optimized crystal structure of YBeZnHg2 (GGA-PBE).

Calculated values
Energy of formation from the pure elements = 0.96 eV/atom
E_tot = -1.451 eV/atom
Space-group type = P4/mmm

Cell: 5.977 5.977 5.388 Å, 90.00 90.00 90.00°
Positions (direct):
Y 0.000 0.000 0.000
Be 0.000 0.000 0.500
Zn 0.500 0.500 0.500
Hg 0.000 0.500 0.000
Hg 0.500 0.000 0.000

Record 2
Entry from Alexandria via LeMat-Bulk: an optimized crystal structure of SnGeTeI2 (GGA-PBE).

Calculated values
Energy above the lowest structure with this stoichiometry = 0 meV per atom
E_tot = -2.828 eV/atom
E_form (uncorrected) = 144.6 meV/atom
Space-group type = P4/mmm

Cell: 5.602 5.602 5.745 Å, 90.00 90.00 90.00°
Positions (direct):
Sn 0.000 0.000 0.000
Ge 0.500 0.500 0.500
Te 0.500 0.500 0.000
I 0.000 0.500 0.500
I 0.500 0.000 0.500

Record 3
Entry from Alexandria via LeMat-Bulk: an optimized crystal structure of PmCdH6Rh2 (GGA-PBE).

Calculated values
E_tot = -4.335 eV/atom
Space-group type = C2/c

Cell: 7.079 7.079 4.636 Å, 91.71 91.71 117.08°
Positions (direct):
Pm 0.154 0.846 0.750
Pm 0.846 0.154 0.250
Cd 0.392 0.608 0.250
Cd 0.608 0.392 0.750
H 0.042 0.678 0.197
H 0.145 0.524 0.534
H 0.162 0.167 0.982
H 0.167 0.162 0.482
H 0.322 0.958 0.303
H 0.476 0.855 0.966
H 0.524 0.145 0.034
H 0.678 0.042 0.697
H 0.833 0.838 0.518
H 0.838 0.833 0.018
H 0.855 0.476 0.466
H 0.958 0.322 0.803
Rh 0.200 0.370 0.738
Rh 0.370 0.200 0.238
Rh 0.630 0.800 0.762
Rh 0.800 0.630 0.262

Record 4
Entry from Alexandria via LeMat-Bulk: an optimized crystal structure of CaMn5Al12 (GGA-PBE).

Calculated values
Energy of formation from the pure elements = -0.09 eV/atom
E_tot = -5.248 eV/atom
Space-group type = Immm

Cell: 7.183 7.183 7.183 Å, 116.35 109.85 102.51°
Positions (direct):
Ca 0.000 0.000 0.000
Mn 0.121 0.621 0.500
Mn 0.500 0.157 0.657
Mn 0.500 0.500 0.000
Mn 0.500 0.843 0.343
Mn 0.879 0.379 0.500
Al 0.115 0.820 0.295
Al 0.231 0.319 0.550
Al 0.231 0.681 0.912
Al 0.259 0.056 0.797
Al 0.259 0.463 0.203
Al 0.474 0.180 0.295
Al 0.526 0.820 0.705
Al 0.741 0.537 0.797
Al 0.741 0.944 0.203
Al 0.769 0.319 0.088
Al 0.769 0.681 0.450
Al 0.885 0.180 0.705

Which of these has the lowest E_tot?
CaMn5Al12